# LaMgCdAg2

A relaxed LaMgCdAg2 crystal (PBEsol, Alexandria via LeMat-Bulk).

Lattice parameters (Å, degrees): 4.900 4.900 5.820 90.00 90.00 90.00
Space group P4/mmm (No. 123)
Unique sites:
La 0.000 0.000 0.000 (multiplicity 1)
Mg 0.000 0.000 0.500 (multiplicity 1)
Cd 0.500 0.500 0.000 (multiplicity 1)
Ag 0.000 0.500 0.500 (multiplicity 2)

## Properties
Energy of formation from the pure elements, eV per atom: 0.525